--- a ---
The following is a PBE calculation of a geometry-optimized SnSb2P2 structure, from Alexandria.

abc: 8.1721 8.1721 3.6911
angles: 90.00 90.00 90.00
Last column: nearest neighbours and their distance in Å.
Space group P4/mbm (No. 127)
Asymmetric unit:
Sn: 0.0000 0.0000 0.0000 (multiplicity 2)  4 P 2.98
Sb: 0.1572 0.3428 0.5000 (multiplicity 4)  2 P 2.58
P: 0.1869 0.6869 0.0000 (multiplicity 4)  2 Sb 2.58


--- b ---
The following is a PBE calculation of a geometry-optimized SnSb2P2 structure, from Alexandria.

abc: 5.1921 5.1921 9.4981
angles: 90.00 90.00 90.00
Last column: nearest neighbours and their distance in Å.
Space group I4/mmm (No. 139)
Asymmetric unit:
Sn: 0.0000 0.0000 0.0000 (multiplicity 2)  2 Sb 3.22, 8 P 3.52
Sb: 0.0000 0.0000 0.3386 (multiplicity 4)  4 P 2.73
P: 0.0000 0.5000 0.2500 (multiplicity 4)  4 Sb 2.73


Name the most stable of them. a.


--- a ---
The following is a PBE calculation of a geometry-optimized SnSbTe2P structure, from Alexandria.

abc: 5.6408 5.6408 5.7827
angles: 90.00 90.00 90.00
Last column: nearest neighbours and their distance in Å.
Space group P4/mmm (No. 123)
Asymmetric unit:
Sn: 0.0000 0.0000 0.0000 (multiplicity 1)  4 Te 2.82, 2 Sb 2.89
Sb: 0.0000 0.0000 0.5000 (multiplicity 1)  2 Sn 2.89
Te: 0.0000 0.5000 0.0000 (multiplicity 2)  2 Sn 2.82
P: 0.5000 0.5000 0.5000 (multiplicity 1)  4 Sb 3.99, 8 Te 4.04


--- b ---
The following is a PBE calculation of a geometry-optimized SnSbTe2P structure, from Alexandria.

abc: 5.3760 5.3760 5.0832
angles: 90.00 90.00 90.00
Last column: nearest neighbours and their distance in Å.
Space group P4/mmm (No. 123)
Asymmetric unit:
Sn: 0.0000 0.0000 0.0000 (multiplicity 1)  8 Te 3.70, 4 Sb 3.80
Sb: 0.5000 0.5000 0.0000 (multiplicity 1)  2 P 2.54
Te: 0.0000 0.5000 0.5000 (multiplicity 2)  2 P 2.69
P: 0.5000 0.5000 0.5000 (multiplicity 1)  2 Sb 2.54, 4 Te 2.69


Name the most stable of them. b.


--- a ---
The following is a PBE calculation of a geometry-optimized Sr2SbP structure, from Alexandria.

abc: 7.7297 7.7297 7.7297
angles: 90.00 90.00 90.00
Last column: nearest neighbours and their distance in Å.
Space group F-43m (No. 216)
Asymmetric unit:
Sr: 0.0000 0.0000 0.0000 (multiplicity 4)  4 Sb 3.35, 4 Sr 3.35
Sr: 0.2500 0.2500 0.2500 (multiplicity 4)  4 Sr 3.35, 4 P 3.35
Sb: 0.2500 0.2500 0.7500 (multiplicity 4)  4 Sr 3.35, 4 P 3.35
P: 0.0000 0.0000 0.5000 (multiplicity 4)  4 Sb 3.35, 4 Sr 3.35


--- b ---
The following is a PBE calculation of a geometry-optimized Sr2SbP structure, from Alexandria.

abc: 3.7128 5.3694 6.5253
angles: 90.00 90.00 90.00
Last column: nearest neighbours and their distance in Å.
Space group Pmmm (No. 47)
Asymmetric unit:
Sr: 0.0000 0.0000 0.0000 (multiplicity 1)  2 Sb 3.26, 4 P 3.26
Sr: 0.5000 0.5000 0.5000 (multiplicity 1)  2 P 3.26, 4 Sb 3.26
Sb: 0.0000 0.0000 0.5000 (multiplicity 1)  6 Sr 3.26
P: 0.5000 0.5000 0.0000 (multiplicity 1)  6 Sr 3.26


--- c ---
The following is a PBE calculation of a geometry-optimized Sr2SbP structure, from Alexandria.

abc: 4.5512 4.5512 11.5870
angles: 90.00 90.00 90.00
Last column: nearest neighbours and their distance in Å.
Space group I-4m2 (No. 119)
Asymmetric unit:
Sr: 0.0000 0.0000 0.0000 (multiplicity 2)  4 Sb 3.22
Sr: 0.0000 0.5000 0.2500 (multiplicity 2)  4 P 3.22
Sb: 0.0000 0.0000 0.5000 (multiplicity 2)  4 Sr 3.22
P: 0.0000 0.5000 0.7500 (multiplicity 2)  4 Sr 3.22


--- d ---
The following is a PBE calculation of a geometry-optimized Sr2SbP structure, from Alexandria.

abc: 6.7551 8.2654 4.1655
angles: 90.00 90.00 90.00
Last column: nearest neighbours and their distance in Å.
Space group Cmmm (No. 65)
Asymmetric unit:
Sr: 0.2500 0.2500 0.0000 (multiplicity 4)  2 Sr 3.38, 4 Sb 3.39, 4 P 3.39
Sb: 0.0000 0.0000 0.5000 (multiplicity 2)  2 P 3.38, 8 Sr 3.39
P: 0.0000 0.5000 0.5000 (multiplicity 2)  2 Sb 3.38, 8 Sr 3.39


Name the most stable of them. d.


--- a ---
The following is a PBE calculation of a geometry-optimized SrSb2P2 structure, from Alexandria.

abc: 4.3748 4.3748 13.6465
angles: 90.00 90.00 90.00
Last column: nearest neighbours and their distance in Å.
Space group I4/mmm (No. 139)
Asymmetric unit:
Sr: 0.0000 0.0000 0.0000 (multiplicity 2)  8 P 3.27
Sb: 0.0000 0.5000 0.2500 (multiplicity 4)  4 Sb 3.09, 4 P 3.20
P: 0.0000 0.0000 0.4216 (multiplicity 4)  1 P 2.14


--- b ---
The following is a PBE calculation of a geometry-optimized SrSb2P2 structure, from Alexandria.

abc: 8.4670 8.4670 3.8125
angles: 90.00 90.00 90.00
Last column: nearest neighbours and their distance in Å.
Space group P4/mbm (No. 127)
Asymmetric unit:
Sr: 0.0000 0.0000 0.0000 (multiplicity 2)  4 P 3.10
Sb: 0.1697 0.3303 0.5000 (multiplicity 4)  2 P 2.59
P: 0.1841 0.6841 0.0000 (multiplicity 4)  2 Sb 2.59


--- c ---
The following is a PBE calculation of a geometry-optimized SrSb2P2 structure, from Alexandria.

abc: 5.2760 5.2760 10.0110
angles: 90.00 90.00 90.00
Last column: nearest neighbours and their distance in Å.
Space group I4/mmm (No. 139)
Asymmetric unit:
Sr: 0.0000 0.0000 0.0000 (multiplicity 2)  2 Sb 3.32, 8 P 3.64
Sb: 0.0000 0.0000 0.3319 (multiplicity 4)  4 P 2.76
P: 0.0000 0.5000 0.2500 (multiplicity 4)  4 Sb 2.76


--- d ---
The following is a PBE calculation of a geometry-optimized SrSb2P2 structure, from Alexandria.

abc: 5.1791 5.1791 5.9186
angles: 90.00 90.00 120.00
Last column: nearest neighbours and their distance in Å.
Space group P-3m1 (No. 164)
Asymmetric unit:
Sr: 0.0000 0.0000 0.0000 (multiplicity 1)  6 P 3.39, 6 Sb 3.51
Sb: 0.3333 0.6667 0.3097 (multiplicity 2)  1 P 2.50
P: 0.3333 0.6667 0.7316 (multiplicity 2)  1 Sb 2.50


Name the most stable of them. a.


--- a ---
The following is a PBE calculation of a geometry-optimized Sr4SbP structure, from Alexandria.

abc: 5.3365 5.3365 7.6552
angles: 90.00 90.00 90.00
Last column: nearest neighbours and their distance in Å.
Space group P4/mmm (No. 123)
Asymmetric unit:
Sr: 0.0000 0.5000 0.2317 (multiplicity 4)  2 P 3.20, 2 Sb 3.37, 1 Sr 3.55
Sb: 0.0000 0.0000 0.5000 (multiplicity 1)  8 Sr 3.37
P: 0.5000 0.5000 0.0000 (multiplicity 1)  8 Sr 3.20


--- b ---
The following is a PBE calculation of a geometry-optimized Sr4SbP structure, from Alexandria.

abc: 9.4339 9.4339 9.4339
angles: 90.00 90.00 90.00
Last column: nearest neighbours and their distance in Å.
Space group F-43m (No. 216)
Asymmetric unit:
Sr: 0.1250 0.1250 0.1250 (multiplicity 16)  6 Sr 3.34
Sb: 0.0000 0.0000 0.5000 (multiplicity 4)  12 Sr 3.91, 4 P 4.09
P: 0.2500 0.2500 0.7500 (multiplicity 4)  12 Sr 3.91, 4 Sb 4.09


Name the most stable of them. a.


--- a ---
The following is a PBE calculation of a geometry-optimized Sr3SbP structure, from Alexandria.

abc: 5.7398 5.7398 5.7398
angles: 90.00 90.00 90.00
Last column: nearest neighbours and their distance in Å.
Space group Pm-3m (No. 221)
Asymmetric unit:
Sr: 0.0000 0.0000 0.5000 (multiplicity 3)  2 P 2.87
Sb: 0.5000 0.5000 0.5000 (multiplicity 1)  12 Sr 4.06
P: 0.0000 0.0000 0.0000 (multiplicity 1)  6 Sr 2.87


--- b ---
The following is a PBE calculation of a geometry-optimized Sr3SbP structure, from Alexandria.

abc: 7.8383 16.7893 5.6139
angles: 90.00 90.00 90.00
Last column: nearest neighbours and their distance in Å.
Space group Cmmm (No. 65)
Asymmetric unit:
Sr: 0.0000 0.1513 0.0000 (multiplicity 4)  2 P 2.87
Sr: 0.2263 0.5000 0.5000 (multiplicity 4)  2 P 2.90
Sr: 0.2500 0.2500 0.5000 (multiplicity 4)  2 P 2.98
Sb: 0.0000 0.3549 0.0000 (multiplicity 4)  1 Sr 3.42
P: 0.0000 0.1163 0.5000 (multiplicity 4)  6 Sr 2.87-2.98


--- c ---
The following is a PBE calculation of a geometry-optimized Sr3SbP structure, from Alexandria.

abc: 9.2643 8.4939 8.9715
angles: 90.00 99.12 90.00
Last column: nearest neighbours and their distance in Å.
Space group P2_1/c (No. 14)
Asymmetric unit:
Sr: 0.0512 0.9999 0.2186 (multiplicity 4)  4 P 3.06-3.35, 1 Sb 3.35
Sr: 0.2616 0.1158 0.5796 (multiplicity 4)  2 P 3.07-3.41, 2 Sb 3.37
Sr: 0.3678 0.7040 0.4823 (multiplicity 4)  1 P 2.99
Sb: 0.4125 0.0651 0.2649 (multiplicity 4)  8 Sr 3.35-3.69
P: 0.0579 0.7179 0.0083 (multiplicity 4)  5 Sr 2.99-3.20


Name the most stable of them. c.


--- a ---
The following is a PBE calculation of a geometry-optimized SrSb2TeP structure, from Alexandria.

abc: 6.1814 6.1814 6.0227
angles: 90.00 90.00 90.00
Last column: nearest neighbours and their distance in Å.
Space group P4/mmm (No. 123)
Asymmetric unit:
Sr: 0.0000 0.0000 0.0000 (multiplicity 1)  2 Te 3.01, 4 Sb 3.09
Sb: 0.0000 0.5000 0.0000 (multiplicity 2)  2 Sr 3.09
Te: 0.0000 0.0000 0.5000 (multiplicity 1)  2 Sr 3.01
P: 0.5000 0.5000 0.5000 (multiplicity 1)  8 Sb 4.32, 4 Te 4.37


--- b ---
The following is a PBE calculation of a geometry-optimized SrSb2TeP structure, from Alexandria.

abc: 5.2426 5.2426 5.5647
angles: 90.00 90.00 90.00
Last column: nearest neighbours and their distance in Å.
Space group P4/mmm (No. 123)
Asymmetric unit:
Sr: 0.0000 0.0000 0.0000 (multiplicity 1)  4 Te 3.71, 8 Sb 3.82
Sb: 0.0000 0.5000 0.5000 (multiplicity 2)  2 P 2.62
Te: 0.5000 0.5000 0.0000 (multiplicity 1)  2 P 2.78
P: 0.5000 0.5000 0.5000 (multiplicity 1)  4 Sb 2.62, 2 Te 2.78


Name the most stable of them. b.


--- a ---
The following is a PBE calculation of a geometry-optimized Ta2SbP2 structure, from Alexandria.

abc: 3.6140 3.6140 13.3918
angles: 90.00 90.00 90.00
Last column: nearest neighbours and their distance in Å.
Space group I4/mmm (No. 139)
Asymmetric unit:
Ta: 0.0000 0.0000 0.1163 (multiplicity 4)  4 P 2.54
Sb: 0.0000 0.0000 0.5000 (multiplicity 2)  8 Ta 2.99
P: 0.0000 0.5000 0.2500 (multiplicity 4)  4 Ta 2.54, 4 P 2.56


--- b ---
The following is a PBE calculation of a geometry-optimized Ta2SbP2 structure, from Alexandria.

abc: 7.4258 7.4258 3.1726
angles: 90.00 90.00 90.00
Last column: nearest neighbours and their distance in Å.
Space group P4/mbm (No. 127)
Asymmetric unit:
Ta: 0.1443 0.3557 0.0000 (multiplicity 4)  6 P 2.61-2.81, 2 Sb 2.85
Sb: 0.0000 0.0000 0.0000 (multiplicity 2)  4 Ta 2.85, 2 Sb 3.17
P: 0.1345 0.6345 0.5000 (multiplicity 4)  6 Ta 2.61-2.81, 1 P 2.83


Name the most stable of them. b.